## HfBeGe (GGA-PBE)

Data for an optimized crystal structure of HfBeGe.

## Properties
Calculated total energy (eV/atom): -6.64
Total magnetic moment (μB/cell): 0.0
V (Å³ per cell): 44.45

CIF file:
```
data_HfBeGe
_cell_length_a 3.7673
_cell_length_b 3.7673
_cell_length_c 3.6163
_cell_angle_alpha 90.00
_cell_angle_beta 90.00
_cell_angle_gamma 120.00
_symmetry_space_group_name_H-M 'P -6 m 2'
_symmetry_Int_Tables_number 187
_symmetry_space_group_name_Hall 'P -6 2'
loop_
_atom_site_label
_atom_site_fract_x
_atom_site_fract_y
_atom_site_fract_z
_atom_site_occupancy
Hf1 0.0000 0.0000 0.0000 1
Be1 0.6667 0.3333 0.5000 1
Ge1 0.3333 0.6667 0.5000 1
```